Ce2HfSb after structural relaxation, computed with PBE.

## Properties
* V: 24.479 A^3/atom
* DOS(E_F): 7.37 states/eV/cell
* formation energy from raw total energies: -1.61 eV/f.u.
* crystal system: tetragonal
* space group: P4/mmm (123)

Structure (extended XYZ):
```
4
Lattice="4.477 0.000 0.000 0.000 4.477 0.000 0.000 0.000 4.886" Properties=species:S:1:pos:R:3 pbc="T T T"
Ce 0.000 2.238 0.000
Ce 2.238 0.000 0.000
Hf 0.000 0.000 2.443
Sb 2.238 2.238 2.443
```